Record 1
HfTaIN2: optimized geometry, PBE.

Cell lengths 4.0972, 4.0972, 5.4725 Å; angles 90.00, 90.00, 90.00 degrees
Closest atoms and distances in Å follow each position.
Space group P4/mmm (No. 123)
Symmetry-distinct sites (fractional):
Hf (0.0000, 0.0000, 0.0000) x1  4 I 2.90
Ta (0.5000, 0.5000, 0.5000) x1  4 N 2.05
I (0.5000, 0.5000, 0.0000) x1  2 Ta 2.74, 4 Hf 2.90
N (0.0000, 0.5000, 0.5000) x2  2 Ta 2.05


Record 2
HfTaIN2: optimized geometry, PBE.

Cell lengths 4.1608, 4.1608, 5.5542 Å; angles 90.00, 90.00, 90.00 degrees
Closest atoms and distances in Å follow each position.
Space group P4/mmm (No. 123)
Symmetry-distinct sites (fractional):
Hf (0.0000, 0.0000, 0.0000) x1  4 N 2.08
Ta (0.5000, 0.5000, 0.5000) x1  4 I 2.94
I (0.0000, 0.0000, 0.5000) x1  2 Hf 2.78, 4 Ta 2.94
N (0.0000, 0.5000, 0.0000) x2  2 Hf 2.08


Record 3
HfTaI2N: optimized geometry, PBE.

Cell lengths 5.6857, 5.6857, 3.8730 Å; angles 90.00, 90.00, 90.00 degrees
Closest atoms and distances in Å follow each position.
Space group P4/mmm (No. 123)
Symmetry-distinct sites (fractional):
Hf (0.0000, 0.0000, 0.0000) x1  8 I 3.44
Ta (0.5000, 0.5000, 0.5000) x1  2 N 1.94
I (0.0000, 0.5000, 0.5000) x2  2 Ta 2.84
N (0.5000, 0.5000, 0.0000) x1  2 Ta 1.94


Values of energy, in order: -36.8; -34.8; -30.4, all in eV for the cell shown.
Values of E above lowest polymorph, in order: 0; 414; 0, all in meV/atom.